The following is a PBE calculation of Co2NiBr after structural relaxation, from the Alexandria database.

Lattice parameters (Å, degrees): 3.106 3.111 6.396 90.00 90.00 90.00
Fractional positions:
Co (0.000, 0.000, 0.180)
Co (0.000, 0.000, 0.820)
Ni (0.500, 0.500, 0.000)
Br (0.000, 0.500, 0.500)

Values from the calculation:
Formation energy from raw total energies ... 0.437 eV per atom

The following is a PBE calculation of Pr3InRh3 after structural relaxation, from the Alexandria database.

Lattice parameters (Å, degrees): 5.768 5.768 13.918 90.00 90.00 134.66
Fractional positions:
Pr (0.020, 0.980, 0.750)
Pr (0.300, 0.700, 0.607)
Pr (0.300, 0.700, 0.893)
Pr (0.700, 0.300, 0.107)
Pr (0.700, 0.300, 0.393)
Pr (0.980, 0.020, 0.250)
In (0.000, 0.000, 0.000)
In (0.000, 0.000, 0.500)
Rh (0.253, 0.747, 0.250)
Rh (0.410, 0.590, 0.093)
Rh (0.410, 0.590, 0.407)
Rh (0.590, 0.410, 0.593)
Rh (0.590, 0.410, 0.907)
Rh (0.747, 0.253, 0.750)

Values from the calculation:
ΔH_f (0 K) ... -0.662 eV/atom

The following is a PBE calculation of GeP2WCl after structural relaxation, from the Alexandria database.

Lattice parameters (Å, degrees): 4.707 4.707 4.894 90.00 90.00 90.00
Fractional positions:
Ge (0.000, 0.000, 0.000)
P (0.000, 0.500, 0.500)
P (0.500, 0.000, 0.500)
W (0.500, 0.500, 0.500)
Cl (0.500, 0.500, 0.000)

Values from the calculation:
Formation energy from raw total energies ... 0.523 eV per atom

The following is a PBE calculation of Dy7Ho6 after structural relaxation, from the Alexandria database.

Lattice parameters (Å, degrees): 12.150 12.150 12.150 30.98 30.98 30.98
Fractional positions:
Dy (0.000, 0.000, 0.000)
Dy (0.091, 0.091, 0.583)
Dy (0.091, 0.583, 0.091)
Dy (0.417, 0.909, 0.909)
Dy (0.583, 0.091, 0.091)
Dy (0.909, 0.417, 0.909)
Dy (0.909, 0.909, 0.417)
Ho (0.167, 0.167, 0.167)
Ho (0.352, 0.352, 0.352)
Ho (0.454, 0.454, 0.454)
Ho (0.546, 0.546, 0.546)
Ho (0.648, 0.648, 0.648)
Ho (0.833, 0.833, 0.833)

Values from the calculation:
ΔH_f (0 K) ... 0.266 eV/atom

The following is a PBE calculation of GdThZnIn after structural relaxation, from the Alexandria database.

Lattice parameters (Å, degrees): 5.310 5.310 5.310 60.00 60.00 60.00
Fractional positions:
Gd (0.000, 0.000, 0.000)
Th (0.500, 0.500, 0.500)
Zn (0.750, 0.750, 0.750)
In (0.250, 0.250, 0.250)

Values from the calculation:
ΔH_f (0 K) ... -0.277 eV/atom

The following is a PBE calculation of LiScTlPd after structural relaxation, from the Alexandria database.

Lattice parameters (Å, degrees): 4.680 4.680 4.680 60.00 60.00 60.00
Fractional positions:
Li (0.000, 0.000, 0.000)
Sc (0.750, 0.750, 0.750)
Tl (0.250, 0.250, 0.250)
Pd (0.500, 0.500, 0.500)

Values from the calculation:
ΔH_f (0 K) ... -0.483 eV/atom